Record 1
A relaxed Hf3NiSe crystal, computed with PBEsol.

The structure in POSCAR format:
```
Hf3NiSe
1.0
-3.121 -2.018 -3.032
-0.818 -3.502 3.173
-3.549 2.582 1.935
Ni Hf Se
1 3 1
direct
0.500 0.500 0.500 Ni
0.000 0.500 0.000 Hf
0.500 0.000 0.000 Hf
0.000 0.000 0.500 Hf
0.000 0.000 0.000 Se
```

Results
formation energy from raw total energies = 2.3 eV per formula unit
theoretical density = 10.130 g/cm3
total magnetic moment = 0.002 μB/cell
SG = Pm-3m, No. 221


Record 2
A relaxed HfSi2Ni2 crystal, computed with PBEsol.

The structure in POSCAR format:
```
HfSi2Ni2
1.0
-1.103 0.216 -3.536
1.720 -3.206 -0.732
-4.313 -0.905 3.236
Hf Ni Si
1 2 2
direct
0.000 0.000 0.000 Hf
0.250 0.750 0.500 Ni
0.750 0.250 0.500 Ni
0.619 0.619 0.239 Si
0.381 0.381 0.761 Si
```

Results
formation energy from raw total energies = -4.2 eV per formula unit
theoretical density = 8.852 g/cm3
total magnetic moment = 0.000 μB/cell
SG = I4/mmm, No. 139


Record 3
A relaxed HfSiNi crystal, computed with PBEsol.

The structure in POSCAR format:
```
HfSiNi
1.0
3.754 0.000 0.000
0.000 6.356 0.000
0.000 0.000 7.147
Si Hf Ni
4 4 4
direct
0.750 0.728 0.115 Si
0.250 0.772 0.615 Si
0.750 0.228 0.385 Si
0.250 0.272 0.885 Si
0.750 0.483 0.685 Hf
0.250 0.017 0.185 Hf
0.750 0.983 0.815 Hf
0.250 0.517 0.315 Hf
0.250 0.141 0.562 Ni
0.750 0.359 0.062 Ni
0.250 0.641 0.938 Ni
0.750 0.859 0.438 Ni
```

Results
formation energy from raw total energies = -2.9 eV per formula unit
theoretical density = 10.333 g/cm3
total magnetic moment = 0.000 μB/cell
SG = Pnma, No. 62


Record 4
A relaxed Hf2SiNi3 crystal, computed with PBEsol.

The structure in POSCAR format:
```
Hf2SiNi3
1.0
-0.947 2.376 4.208
2.276 -4.366 0.096
6.812 3.541 -0.466
Ni Hf Si
6 4 2
direct
0.832 0.168 0.750 Ni
0.832 0.664 0.750 Ni
0.664 0.832 0.250 Ni
0.168 0.832 0.250 Ni
0.168 0.336 0.250 Ni
0.336 0.168 0.750 Ni
0.667 0.333 0.053 Hf
0.333 0.667 0.947 Hf
0.333 0.667 0.553 Hf
0.667 0.333 0.447 Hf
0.000 0.000 0.000 Si
0.000 0.000 0.500 Si
```

Results
formation energy from raw total energies = -4.3 eV per formula unit
theoretical density = 11.537 g/cm3
total magnetic moment = 0.000 μB/cell
SG = P6_3/mmc, No. 194


Record 5
A relaxed HfSi3Ni crystal, computed with PBEsol.

The structure in POSCAR format:
```
HfSi3Ni
1.0
-2.505 3.591 2.212
-4.205 -2.326 -0.986
0.327 -2.400 4.266
Si Hf Ni
3 1 1
direct
0.000 0.000 0.500 Si
0.500 0.000 0.000 Si
0.000 0.500 0.000 Si
0.000 0.000 0.000 Hf
0.500 0.500 0.500 Ni
```

Results
formation energy from raw total energies = 6.7 eV per formula unit
theoretical density = 4.521 g/cm3
total magnetic moment = 0.965 μB/cell
SG = Pm-3m, No. 221


Record 6
A relaxed HfNiSn3 crystal, computed with PBEsol.

The structure in POSCAR format:
```
HfNiSn3
1.0
4.851 0.000 0.000
0.000 4.851 0.000
0.000 0.000 4.851
Sn Hf Ni
3 1 1
direct
0.000 0.000 0.500 Sn
0.000 0.500 0.000 Sn
0.500 0.000 0.000 Sn
0.500 0.500 0.500 Hf
0.000 0.000 0.000 Ni
```

Results
theoretical density = 8.628 g/cm3
total magnetic moment = 0.001 μB/cell
SG = Pm-3m, No. 221
energy of formation = 352 meV/atom


Record 7
A relaxed HfNi3Sn crystal, computed with PBEsol.

The structure in POSCAR format:
```
HfNi3Sn
1.0
-2.186 2.778 -2.851
-3.913 -2.097 0.957
-0.731 2.917 3.403
Ni Hf Sn
3 1 1
direct
0.000 0.500 0.000 Ni
0.000 0.000 0.500 Ni
0.500 0.000 0.000 Ni
0.000 0.000 0.000 Hf
0.500 0.500 0.500 Sn
```

Results
theoretical density = 8.391 g/cm3
total magnetic moment = 0.000 μB/cell
SG = Pm-3m, No. 221
energy of formation = 958 meV/atom


Record 8
A relaxed HfTi2Ni2 crystal, computed with PBEsol.

The structure in POSCAR format:
```
HfTi2Ni2
1.0
3.007 0.000 0.000
0.000 7.009 0.000
0.000 0.000 7.009
Ni Hf Ti
4 2 4
direct
0.000 0.874 0.626 Ni
0.000 0.626 0.126 Ni
0.000 0.126 0.374 Ni
0.000 0.374 0.874 Ni
0.000 0.000 0.000 Hf
0.000 0.500 0.500 Hf
0.500 0.335 0.165 Ti
0.500 0.165 0.665 Ti
0.500 0.835 0.335 Ti
0.500 0.665 0.835 Ti
```

Results
theoretical density = 8.804 g/cm3
total magnetic moment = 0.000 μB/cell
SG = P4/mbm, No. 127
energy of formation = -305 meV/atom